DFT (PBE-GGA) results for a geometry-optimized AcLaTePb structure.

The structure belongs to space group F-43m (No. 216); the cell edges are 8.1362, 8.1362 and 8.1362 Å and the angles 90.00°, 90.00° and 90.00°. The asymmetric unit holds Ac at (0.0000, 0.0000, 0.0000), La at (0.0000, 0.0000, 0.5000), Te at (0.2500, 0.2500, 0.2500) and Pb at (0.2500, 0.2500, 0.7500).

The calculation puts the total energy at -4.852 eV/atom. The calculation puts the calculated density at 8.6 g/cm3. The calculation puts the magnetic moment at 0.00 μB per formula unit. The calculation puts the energy above the lowest structure with this stoichiometry at 4.61 kcal/mol of atoms. The value obtained for the formation energy from raw total energies is -0.88 eV/atom.